Entry 1:
# BeGe2Os2 (PBE-GGA, relaxed)
data_BeGe2Os2
_symmetry_space_group_name_H-M 'P 4/m b m'
_symmetry_Int_Tables_number 127
_symmetry_space_group_name_Hall '-P 4 2ab'
_cell_length_a 6.921
_cell_length_b 6.921
_cell_length_c 3.066
_cell_angle_alpha 90.00
_cell_angle_beta 90.00
_cell_angle_gamma 90.00
loop_
_atom_site_label
_atom_site_type_symbol
_atom_site_fract_x
_atom_site_fract_y
_atom_site_fract_z
Be1 Be 0.000 0.000 0.000
Ge1 Ge 0.151 0.349 0.500
Os1 Os 0.150 0.650 0.000
# Formation energy from the elements: 136.4 kJ/mol of formula units
# Crystal system: tetragonal
# Uncorrected energy: -6.8014 eV/atom
# DOS at the Fermi energy: 3.5 states/eV per cell

---

Entry 2:
# Be2GeOs (PBE-GGA, relaxed)
data_Be2GeOs
_symmetry_space_group_name_H-M 'I -4 2 d'
_symmetry_Int_Tables_number 122
_symmetry_space_group_name_Hall 'I -4 2bw'
_cell_length_a 6.859
_cell_length_b 6.859
_cell_length_c 4.809
_cell_angle_alpha 90.00
_cell_angle_beta 90.00
_cell_angle_gamma 90.00
loop_
_atom_site_label
_atom_site_type_symbol
_atom_site_fract_x
_atom_site_fract_y
_atom_site_fract_z
Be1 Be 0.197 0.250 0.125
Ge1 Ge 0.000 0.000 0.500
Os1 Os 0.000 0.000 0.000
# Formation energy from the elements: 241.1 kJ/mol of formula units
# Crystal system: tetragonal
# Uncorrected energy: -5.2002 eV/atom
# DOS at the Fermi energy: 2.6 states/eV per cell

---

Entry 3:
# Be2GeOs2 (PBE-GGA, relaxed)
data_Be2GeOs2
_symmetry_space_group_name_H-M 'P 4/m b m'
_symmetry_Int_Tables_number 127
_symmetry_space_group_name_Hall '-P 4 2ab'
_cell_length_a 6.376
_cell_length_b 6.376
_cell_length_c 3.100
_cell_angle_alpha 90.00
_cell_angle_beta 90.00
_cell_angle_gamma 90.00
loop_
_atom_site_label
_atom_site_type_symbol
_atom_site_fract_x
_atom_site_fract_y
_atom_site_fract_z
Be1 Be 0.133 0.367 0.000
Ge1 Ge 0.000 0.000 0.500
Os1 Os 0.155 0.655 0.500
# Formation energy from the elements: 5.6 kJ/mol of formula units
# Crystal system: tetragonal
# Energy above the lowest structure with this stoichiometry: 0 meV/atom
# Uncorrected energy: -6.8943 eV/atom
# DOS at the Fermi energy: 0.5 states/eV per cell

---

Entry 4:
# Be2GeOs2 (PBE-GGA, relaxed)
data_Be2GeOs2
_symmetry_space_group_name_H-M 'P 4/m b m'
_symmetry_Int_Tables_number 127
_symmetry_space_group_name_Hall '-P 4 2ab'
_cell_length_a 6.183
_cell_length_b 6.183
_cell_length_c 3.012
_cell_angle_alpha 90.00
_cell_angle_beta 90.00
_cell_angle_gamma 90.00
loop_
_atom_site_label
_atom_site_type_symbol
_atom_site_fract_x
_atom_site_fract_y
_atom_site_fract_z
Be1 Be 0.121 0.379 0.000
Ge1 Ge 0.000 0.000 0.000
Os1 Os 0.171 0.671 0.500
# Formation energy from the elements: 17.0 kJ/mol of formula units
# Crystal system: tetragonal
# Energy above the lowest structure with this stoichiometry: 24 meV/atom
# Uncorrected energy: -6.8705 eV/atom
# DOS at the Fermi energy: 5.8 states/eV per cell

---

Entry 5:
# BeGeOs (PBE-GGA, relaxed)
data_BeGeOs
_symmetry_space_group_name_H-M 'P -6 m 2'
_symmetry_Int_Tables_number 187
_symmetry_space_group_name_Hall 'P -6 2'
_cell_length_a 3.8987
_cell_length_b 3.8987
_cell_length_c 2.9915
_cell_angle_alpha 90.00
_cell_angle_beta 90.00
_cell_angle_gamma 120.00
loop_
_atom_site_label
_atom_site_type_symbol
_atom_site_fract_x
_atom_site_fract_y
_atom_site_fract_z
Be1 Be 0.0000 0.0000 0.0000
Ge1 Ge 0.3333 0.6667 0.5000
Os1 Os 0.6667 0.3333 0.0000
# Formation energy from the elements: 64.7 kJ/mol of formula units
# Crystal system: hexagonal
# Energy above the lowest structure with this stoichiometry: 312 meV/atom
# Uncorrected energy: -6.3009 eV/atom
# DOS at the Fermi energy: 1.0 states/eV per cell

---

Entry 6:
# BeGeOs3 (PBE-GGA, relaxed)
data_BeGeOs3
_symmetry_space_group_name_H-M 'P m -3 m'
_symmetry_Int_Tables_number 221
_symmetry_space_group_name_Hall '-P 4 2 3'
_cell_length_a 4.494
_cell_length_b 4.494
_cell_length_c 4.494
_cell_angle_alpha 90.00
_cell_angle_beta 90.00
_cell_angle_gamma 90.00
loop_
_atom_site_label
_atom_site_type_symbol
_atom_site_fract_x
_atom_site_fract_y
_atom_site_fract_z
Be1 Be 0.000 0.000 0.000
Ge1 Ge 0.500 0.500 0.500
Os1 Os 0.000 0.500 0.500
# Formation energy from the elements: 954.7 kJ/mol of formula units
# Crystal system: cubic
# Energy above the lowest structure with this stoichiometry: 1107 meV/atom
# Uncorrected energy: -6.4276 eV/atom
# DOS at the Fermi energy: 4.8 states/eV per cell

---

Entry 7:
# BeGeOs3 (PBE-GGA, relaxed)
data_BeGeOs3
_symmetry_space_group_name_H-M 'P m -3 m'
_symmetry_Int_Tables_number 221
_symmetry_space_group_name_Hall '-P 4 2 3'
_cell_length_a 4.132
_cell_length_b 4.132
_cell_length_c 4.132
_cell_angle_alpha 90.00
_cell_angle_beta 90.00
_cell_angle_gamma 90.00
loop_
_atom_site_label
_atom_site_type_symbol
_atom_site_fract_x
_atom_site_fract_y
_atom_site_fract_z
Be1 Be 0.000 0.000 0.000
Ge1 Ge 0.500 0.500 0.500
Os1 Os 0.000 0.000 0.500
# Formation energy from the elements: 420.4 kJ/mol of formula units
# Crystal system: cubic
# Energy above the lowest structure with this stoichiometry: 0 meV/atom
# Uncorrected energy: -7.5351 eV/atom
# DOS at the Fermi energy: 3.3 states/eV per cell

---

Entry 8:
# BeGe3Os (PBE-GGA, relaxed)
data_BeGe3Os
_symmetry_space_group_name_H-M 'P m -3 m'
_symmetry_Int_Tables_number 221
_symmetry_space_group_name_Hall '-P 4 2 3'
_cell_length_a 4.336
_cell_length_b 4.336
_cell_length_c 4.336
_cell_angle_alpha 90.00
_cell_angle_beta 90.00
_cell_angle_gamma 90.00
loop_
_atom_site_label
_atom_site_type_symbol
_atom_site_fract_x
_atom_site_fract_y
_atom_site_fract_z
Be1 Be 0.000 0.000 0.000
Ge1 Ge 0.000 0.000 0.500
Os1 Os 0.500 0.500 0.500
# Formation energy from the elements: 505.4 kJ/mol of formula units
# Crystal system: cubic
# Energy above the lowest structure with this stoichiometry: 214 meV/atom
# Uncorrected energy: -4.7140 eV/atom
# DOS at the Fermi energy: 2.7 states/eV per cell

---

Which of these has the lowest uncorrected energy? number 7